A relaxed KIr2O6 crystal, computed with PBE.

Its energy is -113.2 eV for the cell shown. As for the density of states at the Fermi level: 16.46 states/eV/cell. For the calculated density, the calculation gives 6.6 g/cm3. The value obtained for the relative energy among the computed polymorphs is 0.15 eV per formula unit. As for the symmetry: No. 227. As for the total magnetization: 1.07 μB/f.u. The uncorrected formation energy is -777 kJ/mol of formula units.

Lattice parameters (Å, degrees): 7.193 7.193 7.193 60.00 60.00 60.00
Fractional coordinates of all 18 atoms:
K1 0.125 0.125 0.125
K2 0.875 0.875 0.875
Ir1 0.000 0.500 0.500
Ir2 0.500 0.000 0.500
Ir3 0.500 0.500 0.000
Ir4 0.500 0.500 0.500
O1 0.178 0.178 0.572
O2 0.178 0.572 0.178
O3 0.178 0.572 0.572
O4 0.428 0.428 0.822
O5 0.428 0.822 0.428
O6 0.428 0.822 0.822
O7 0.572 0.178 0.178
O8 0.572 0.178 0.572
O9 0.572 0.572 0.178
O10 0.822 0.428 0.428
O11 0.822 0.428 0.822
O12 0.822 0.822 0.428